## 1
Computed, not measured: crystalline ScBeIn at its relaxed geometry at the PBE-GGA level of DFT.

```
data_ScBeIn
_cell_length_a 4.450
_cell_length_b 4.297
_cell_length_c 5.918
_cell_angle_alpha 111.32
_cell_angle_beta 90.00
_cell_angle_gamma 90.00
_symmetry_space_group_name_H-M 'P 1'
_symmetry_Int_Tables_number 1
_symmetry_space_group_name_Hall 'P 1'
loop_
_atom_site_label
_atom_site_fract_x
_atom_site_fract_y
_atom_site_fract_z
In1 0.804 0.544 0.265
In2 0.304 0.332 0.841
Be1 0.804 0.181 0.539
Be2 0.304 0.695 0.567
Sc1 0.304 0.047 0.270
Sc2 0.804 0.830 0.836
```

Crystal system = orthorhombic
D(E_F) = 1.263 states/eV/f.u.
Space group = Cmcm, No. 63


## 2
Computed, not measured: crystalline ScBeIn at its relaxed geometry at the PBE-GGA level of DFT.

```
data_ScBeIn
_cell_length_a 4.054
_cell_length_b 4.054
_cell_length_c 6.961
_cell_angle_alpha 90.00
_cell_angle_beta 90.00
_cell_angle_gamma 90.00
_symmetry_space_group_name_H-M 'P 1'
_symmetry_Int_Tables_number 1
_symmetry_space_group_name_Hall 'P 1'
loop_
_atom_site_label
_atom_site_fract_x
_atom_site_fract_y
_atom_site_fract_z
In1 0.000 0.000 0.500
In2 0.500 0.500 0.500
Be1 0.000 0.500 0.753
Be2 0.500 0.000 0.247
Sc1 0.000 0.500 0.145
Sc2 0.500 0.000 0.855
```

Crystal system = tetragonal
D(E_F) = 1.814 states/eV/f.u.
Space group = P4/nmm, No. 129


The calculated energies rank the structures as follows, beginning with the most stable: 1, 2.